(1)
VASP calculation (PBE) on a relaxed structure of Cd2GaS3.

N(E_F) = 0.11 states/eV/atom
E_form (uncorrected) = -0.53 eV per atom
Total DFT energy (no corrections) = -20.4 eV per cell

```
Cd2GaS3
1.0
-2.251 6.055 2.712
2.251 -6.055 2.712
2.251 6.055 -2.712
Cd Ga S
2 1 3
Direct
0.163 0.000 0.163 Cd
0.837 0.000 0.837 Cd
0.524 0.024 0.500 Ga
0.085 0.742 0.343 S
0.399 0.742 0.657 S
0.688 0.688 0.000 S
```

(2)
VASP calculation (PBE) on a relaxed structure of Ti4Mn2Sb.

N(E_F) = 1.46 states/eV/atom
E_form (uncorrected) = 0.85 eV per atom
Total DFT energy (no corrections) = -48.1 eV per cell

```
Ti4Mn2Sb
1.0
-2.498 2.498 5.987
2.498 -2.498 5.987
2.498 2.498 -5.987
Ti Mn Sb
4 2 1
Direct
0.000 0.500 0.500 Ti
0.224 0.224 0.000 Ti
0.500 0.000 0.500 Ti
0.776 0.776 0.000 Ti
0.400 0.400 0.000 Mn
0.600 0.600 0.000 Mn
0.000 0.000 0.000 Sb
```

(3)
VASP calculation (PBE) on a relaxed structure of Li2MnSe.

N(E_F) = 0.92 states/eV/atom
E_form (uncorrected) = -0.17 eV per atom
Total DFT energy (no corrections) = -17.1 eV per cell

```
Li2MnSe
1.0
0.000 3.086 3.086
3.086 0.000 3.086
3.086 3.086 0.000
Li Mn Se
2 1 1
Direct
0.000 0.000 0.000 Li
0.250 0.250 0.250 Li
0.500 0.500 0.500 Mn
0.750 0.750 0.750 Se
```

(4)
VASP calculation (PBE) on a relaxed structure of La2Pr4Tl3H2.

N(E_F) = 0.93 states/eV/atom
Total DFT energy (no corrections) = -46.2 eV per cell

```
La2Pr4Tl3H2
1.0
-2.483 2.483 12.876
2.483 -2.483 12.876
2.483 2.483 -12.876
La Pr Tl H
2 4 3 2
Direct
0.199 0.199 0.000 La
0.801 0.801 0.000 La
0.084 0.584 0.500 Pr
0.416 0.916 0.500 Pr
0.584 0.084 0.500 Pr
0.916 0.416 0.500 Pr
0.327 0.327 0.000 Tl
0.500 0.500 0.000 Tl
0.673 0.673 0.000 Tl
0.102 0.102 0.000 H
0.898 0.898 0.000 H
```

(5)
VASP calculation (PBE) on a relaxed structure of FeRe2Ir.

N(E_F) = 0.94 states/eV/atom
E above lowest polymorph = 46 meV per atom
Total DFT energy (no corrections) = -42.2 eV per cell

```
FeRe2Ir
1.0
4.462 -1.350 0.000
4.462 1.350 0.000
-0.768 0.000 4.671
Fe Re Ir
1 2 1
Direct
0.000 0.000 0.000 Fe
0.501 0.501 0.502 Re
0.746 0.746 0.234 Re
0.246 0.246 0.750 Ir
```

(6)
VASP calculation (PBE) on a relaxed structure of NdZrRh2.

N(E_F) = 0.67 states/eV/atom
Total DFT energy (no corrections) = -30.9 eV per cell

```
NdZrRh2
1.0
3.367 0.000 0.000
0.000 3.367 0.000
0.000 0.000 7.080
Nd Zr Rh
1 1 2
Direct
0.000 0.000 0.000 Nd
0.000 0.000 0.500 Zr
0.500 0.500 0.286 Rh
0.500 0.500 0.714 Rh
```